The following is a DFT calculation (PBE) of an optimized crystal structure of Sr9H14N2.

POSCAR file:
```
Sr9H14N2
1.0
7.302 0.000 0.000
-3.651 6.324 0.000
0.000 0.000 10.221
Sr H N
9 14 2
direct
0.000 0.000 0.000
0.038 0.342 0.339
0.305 0.962 0.339
0.333 0.667 0.020
0.342 0.305 0.661
0.658 0.695 0.339
0.667 0.333 0.980
0.695 0.038 0.661
0.962 0.658 0.661
0.000 0.000 0.254
0.000 0.000 0.746
0.034 0.684 0.909
0.046 0.364 0.590
0.316 0.350 0.909
0.319 0.954 0.590
0.350 0.034 0.091
0.364 0.319 0.410
0.636 0.681 0.590
0.650 0.966 0.909
0.681 0.046 0.410
0.684 0.650 0.091
0.954 0.636 0.410
0.966 0.316 0.091
0.333 0.667 0.259
0.667 0.333 0.741
```

Results
* density of states at the Fermi level: 10.5 states/eV per cell
* volume: 471.99 Å³/cell
* space group: P-3
* E: -89.12 eV for the cell shown
* spin magnetization: 2.00 μB per cell

The following is a DFT calculation (PBE) of an optimized crystal structure of SrHN2.

POSCAR file:
```
SrHN2
1.0
-1.955 1.955 5.830
1.955 -1.955 5.830
1.955 1.955 -5.830
Sr H N
2 2 4
direct
0.375 0.625 0.750
0.625 0.375 0.250
0.125 0.875 0.250
0.875 0.125 0.750
0.000 0.000 0.000
0.000 0.000 0.500
0.000 0.500 0.000
0.500 0.000 0.500
```

Results
* distance to the lowest polymorph of the same formula: 98 meV/atom
* density of states at the Fermi level: 5.2 states/eV per cell
* volume: 89.17 Å³/cell
* space group: I4_1/amd
* spin magnetization: 1.05 μB per cell

Which value of spin magnetization does entry 1 give?
2.00 μB per cell

Which value of density of states at the Fermi level does entry 1 give?
10.5 states/eV per cell

Which formula does entry 2 have?
SrHN2